# Sm8Si3HI4 GGA-PBE relaxed
data_Sm8Si3HI4
_symmetry_space_group_name_H-M 'R -3 m'
_symmetry_Int_Tables_number 166
_symmetry_space_group_name_Hall '-R 3 2"'
_cell_length_a 8.3540
_cell_length_b 8.3540
_cell_length_c 22.8875
_cell_angle_alpha 90.00
_cell_angle_beta 90.00
_cell_angle_gamma 120.00
loop_
_atom_site_label
_atom_site_type_symbol
_atom_site_fract_x
_atom_site_fract_y
_atom_site_fract_z
_atom_site_occupancy
Sm1 Sm 0.0000 0.0000 0.2328 1
Sm2 Sm 0.0069 0.5034 0.2310 1
Si1 Si 0.0000 0.5000 0.5000 1
H1 H 0.0000 0.0000 0.5000 1
I1 I 0.0000 0.0000 0.0000 1
I2 I 0.0000 0.5000 0.0000 1
# Volume in Å³/cell: 1383.4
# Total DFT energy (no corrections) in eV per formula unit: -76.4